CeZn9Ni3 | PBE | relaxed

a b c (Å): 6.7215 6.7215 6.6946
angles (deg): 97.87 97.87 136.40
With the nearest neighbours (Å) after each atom.
Sites, in units of the cell vectors:
Ce  0.0000  0.0000  0.0000  14 Zn 3.06-3.36, 6 Ni 3.35-3.36
Zn  0.0189  0.6650  0.6602  3 Ni 2.60-2.70, 6 Zn 2.66-2.86
Zn  0.2739  0.5015  0.7813  3 Ni 2.50-2.57, 5 Zn 2.58-2.79
Zn  0.3350  0.9811  0.3398  3 Ni 2.60-2.70, 6 Zn 2.66-2.86
Zn  0.4985  0.7261  0.2187  3 Ni 2.50-2.57, 5 Zn 2.58-2.79
Zn  0.5000  0.5000  0.5000  2 Ni 2.50, 8 Zn 2.58-2.76
Zn  0.5015  0.2739  0.7813  3 Ni 2.50-2.57, 5 Zn 2.58-2.79
Zn  0.6650  0.0189  0.6602  3 Ni 2.60-2.70, 6 Zn 2.66-2.86
Zn  0.7261  0.4985  0.2187  3 Ni 2.50-2.57, 5 Zn 2.58-2.79
Zn  0.9811  0.3350  0.3398  3 Ni 2.60-2.70, 6 Zn 2.66-2.86
Ni  0.0000  0.0000  0.5000  10 Zn 2.50-2.70
Ni  0.0000  0.5000  0.0000  2 Ni 2.50, 8 Zn 2.50-2.64
Ni  0.5000  0.0000  0.0000  2 Ni 2.50, 8 Zn 2.50-2.64

## Properties
E_tot   -37.84 eV/cell